Computed, not measured: crystalline MnInIO2 at its relaxed geometry at the GGA+U level of DFT.

Calculated values
Calculated volume in Å³/atom: 19.93
Density of states at the Fermi level in states/eV/atom: 0.684
Theoretical density in g/cm3: 5.48
Total DFT energy (no corrections) in Ry per atom: -0.3456
Energy above the most stable polymorph in this dataset in meV/atom: 850

Lattice parameters (Å, degrees): 4.114 4.114 5.889 90.00 90.00 90.00
Positions (direct):
Mn (0.000, 0.000, 0.000)
In (0.500, 0.500, 0.500)
I (0.000, 0.000, 0.500)
O (0.000, 0.500, 0.000)
O (0.500, 0.000, 0.000)